Entry 1:
Below is a relaxed structure of CdSe2Cl, with properties calculated at the GGA-PBEsol level.

Computed properties:
* formation energy (no corrections): -0.02 eV per atom
* E: -2.750 eV/atom

Cell: 3.305 3.305 7.934 Å, 90.00 90.00 90.00°
Space group P4mm (No. 99)
Asymmetric unit:
Cd1 0.000 0.000 0.000
Se1 0.000 0.000 0.553
Se2 0.500 0.500 0.740
Cl1 0.500 0.500 0.192


Entry 2:
Below is a relaxed structure of CdSe2Cl, with properties calculated at the GGA-PBEsol level.

Computed properties:
* formation energy (no corrections): 0.25 eV per atom
* E: -2.477 eV/atom

Cell: 5.164 5.164 3.048 Å, 90.00 90.00 90.00°
Space group P4/mmm (No. 123)
Asymmetric unit:
Cd1 0.000 0.000 0.000
Se1 0.000 0.500 0.500
Cl1 0.500 0.500 0.000


Entry 3:
Below is a relaxed structure of CdSe2Cl, with properties calculated at the GGA-PBEsol level.

Computed properties:
* formation energy (no corrections): -0.11 eV per atom
* E: -2.840 eV/atom

Cell: 3.453 6.576 8.427 Å, 90.00 90.00 90.00°
Space group Imm2 (No. 44)
Asymmetric unit:
Cd1 0.000 0.000 0.000
Se1 0.000 0.000 0.531
Se2 0.000 0.500 0.248
Cl1 0.000 0.500 0.716


Entry 4:
Below is a relaxed structure of CdSe2Cl, with properties calculated at the GGA-PBEsol level.

Computed properties:
* formation energy (no corrections): 0.03 eV per atom
* E: -2.700 eV/atom

Cell: 4.0098 4.0098 19.4033 Å, 90.00 90.00 120.00°
Space group R-3m (No. 166, hexagonal axes)
Asymmetric unit:
Cd1 0.0000 0.0000 0.0000
Se1 0.0000 0.0000 0.2614
Cl1 0.0000 0.0000 0.5000


Entry 5:
Below is a relaxed structure of CdSeCl3, with properties calculated at the GGA-PBEsol level.

Computed properties:
* formation energy (no corrections): -0.12 eV per atom
* E: -2.334 eV/atom

Cell: 5.107 5.107 5.107 Å, 90.00 90.00 90.00°
Space group Pm-3m (No. 221)
Asymmetric unit:
Cd1 0.000 0.000 0.000
Se1 0.500 0.500 0.500
Cl1 0.000 0.000 0.500


Entry 6:
Below is a relaxed structure of CdSi2Cl, with properties calculated at the GGA-PBEsol level.

Computed properties:
* formation energy (no corrections): 0.30 eV per atom
* E: -3.377 eV/atom

Cell: 2.922 4.649 11.271 Å, 90.00 90.00 90.00°
Space group Immm (No. 71)
Asymmetric unit:
Cd1 0.000 0.000 0.000
Si1 0.000 0.500 0.281
Cl1 0.000 0.000 0.500


Entry 7:
Below is a relaxed structure of CdSiCl2, with properties calculated at the GGA-PBEsol level.

Computed properties:
* formation energy (no corrections): -0.31 eV per atom
* E: -3.054 eV/atom

Cell: 11.011 3.823 5.233 Å, 90.00 116.84 90.00°
Space group Cm (No. 8)
Asymmetric unit:
Cd1 0.000 0.000 0.000
Si1 0.106 0.500 0.427
Cl1 0.209 0.000 0.782
Cl2 0.429 0.000 0.513


Entry 8:
Below is a relaxed structure of CdSiCl2, with properties calculated at the GGA-PBEsol level.

Computed properties:
* formation energy (no corrections): -0.17 eV per atom
* E: -2.907 eV/atom

Cell: 3.6229 3.6229 27.4439 Å, 90.00 90.00 120.00°
Space group R-3m (No. 166, hexagonal axes)
Asymmetric unit:
Cd1 0.0000 0.0000 0.0000
Si1 0.0000 0.0000 0.5000
Cl1 0.0000 0.0000 0.2224


Entry 9:
Below is a relaxed structure of Sr2CdCl, with properties calculated at the GGA-PBEsol level.

Computed properties:
* formation energy (no corrections): -0.73 eV per atom
* E: -2.449 eV/atom

Cell: 5.643 5.643 7.946 Å, 90.00 90.00 90.00°
Space group I4/mmm (No. 139)
Asymmetric unit:
Sr1 0.000 0.500 0.250
Cd1 0.000 0.000 0.000
Cl1 0.000 0.000 0.500


Entry 10:
Below is a relaxed structure of SrCdCl, with properties calculated at the GGA-PBEsol level.

Computed properties:
* formation energy (no corrections): -0.81 eV per atom
* E: -2.490 eV/atom

Cell: 7.142 7.142 7.142 Å, 90.00 90.00 90.00°
Space group F-43m (No. 216)
Asymmetric unit:
Sr1 0.000 0.000 0.000
Cd1 0.000 0.000 0.500
Cl1 0.250 0.250 0.250


Entry 11:
Below is a relaxed structure of Sr2CdCl, with properties calculated at the GGA-PBEsol level.

Computed properties:
* formation energy (no corrections): -0.91 eV per atom
* E: -2.633 eV/atom

Cell: 4.205 4.118 15.695 Å, 90.00 90.00 90.00°
Space group Amm2 (No. 38)
Asymmetric unit:
Sr1 0.000 0.000 0.000
Sr2 0.500 0.000 0.258
Cd1 0.500 0.000 0.589
Cl1 0.000 0.000 0.814


Entry 12:
Below is a relaxed structure of Ta3CdCl, with properties calculated at the GGA-PBEsol level.

Computed properties:
* formation energy (no corrections): 2.49 eV per atom
* E: -5.680 eV/atom

Cell: 4.983 4.983 4.983 Å, 90.00 90.00 90.00°
Space group Pm-3m (No. 221)
Asymmetric unit:
Ta1 0.000 0.000 0.500
Cd1 0.000 0.000 0.000
Cl1 0.500 0.500 0.500


Entry 13:
Below is a relaxed structure of TaCdCl2, with properties calculated at the GGA-PBEsol level.

Computed properties:
* formation energy (no corrections): 0.74 eV per atom
* E: -3.706 eV/atom

Cell: 6.848 6.848 6.848 Å, 90.00 90.00 90.00°
Space group F-43m (No. 216)
Asymmetric unit:
Ta1 0.000 0.000 0.000
Cd1 0.250 0.250 0.250
Cl1 0.000 0.000 0.500
Cl2 0.250 0.250 0.750


Entry 14:
Below is a relaxed structure of CdTe2Cl, with properties calculated at the GGA-PBEsol level.

Computed properties:
* formation energy (no corrections): -0.13 eV per atom
* E: -2.691 eV/atom

Cell: 4.289 4.289 23.241 Å, 90.00 90.00 90.00°
Space group I-42d (No. 122)
Asymmetric unit:
Cd1 0.000 0.000 0.000
Te1 0.241 0.250 0.125
Cl1 0.000 0.000 0.500


Entry 15:
Below is a relaxed structure of CdTe2Cl, with properties calculated at the GGA-PBEsol level.

Computed properties:
* formation energy (no corrections): 0.14 eV per atom
* E: -2.422 eV/atom

Cell: 5.425 5.425 3.306 Å, 90.00 90.00 90.00°
Space group P4/mmm (No. 123)
Asymmetric unit:
Cd1 0.000 0.000 0.000
Te1 0.000 0.500 0.500
Cl1 0.500 0.500 0.000


Entry 16:
Below is a relaxed structure of CdTe2Cl, with properties calculated at the GGA-PBEsol level.

Computed properties:
* formation energy (no corrections): -0.11 eV per atom
* E: -2.670 eV/atom

Cell: 3.509 3.509 8.328 Å, 90.00 90.00 90.00°
Space group P4mm (No. 99)
Asymmetric unit:
Cd1 0.000 0.000 0.000
Te1 0.000 0.000 0.515
Te2 0.500 0.500 0.741
Cl1 0.500 0.500 0.169


Entry 17:
Below is a relaxed structure of TlCdCl2, with properties calculated at the GGA-PBEsol level.

Computed properties:
* formation energy (no corrections): -0.64 eV per atom
* E: -2.596 eV/atom

Cell: 3.549 4.454 12.847 Å, 90.00 90.00 90.00°
Space group Imm2 (No. 44)
Asymmetric unit:
Tl1 0.000 0.000 0.000
Cd1 0.000 0.500 0.718
Cl1 0.000 0.000 0.381
Cl2 0.000 0.500 0.177


Entry 18:
Below is a relaxed structure of TlCdCl, with properties calculated at the GGA-PBEsol level.

Computed properties:
* formation energy (no corrections): -0.39 eV per atom
* E: -2.339 eV/atom

Cell: 5.037 5.083 11.839 Å, 90.00 90.00 90.00°
Space group Fmm2 (No. 42)
Asymmetric unit:
Tl1 0.000 0.000 0.000
Cd1 0.000 0.000 0.321
Cl1 0.000 0.000 0.684


Entry 19:
Below is a relaxed structure of TlCdCl2, with properties calculated at the GGA-PBEsol level.

Computed properties:
* formation energy (no corrections): -0.59 eV per atom
* E: -2.553 eV/atom

Cell: 8.146 4.304 6.556 Å, 90.00 110.26 90.00°
Space group C2/m (No. 12)
Asymmetric unit:
Tl1 0.000 0.000 0.000
Cd1 0.000 0.500 0.500
Cl1 0.240 0.000 0.713


Entry 20:
Below is a relaxed structure of Cd4WCl, with properties calculated at the GGA-PBEsol level.

Computed properties:
* formation energy (no corrections): 0.80 eV per atom
* E: -2.630 eV/atom

Cell: 7.853 7.853 7.853 Å, 90.00 90.00 90.00°
Space group F-43m (No. 216)
Asymmetric unit:
Cd1 0.124 0.124 0.376
W1 0.250 0.250 0.750
Cl1 0.000 0.000 0.000